# 1
Computed, not measured: crystalline Sr5As3H at its relaxed geometry at the PBEsol level of DFT.

The structure in CIF format:
```
data_Sr5As3H
_cell_length_a 8.8859
_cell_length_b 8.8859
_cell_length_c 6.9883
_cell_angle_alpha 90.00
_cell_angle_beta 90.00
_cell_angle_gamma 120.00
_space_group_name_H-M_alt 'P 63/m c m'
_space_group_IT_number 193
_space_group_name_Hall '-P 6c 2'
loop_
_atom_site_label
_atom_site_fract_x
_atom_site_fract_y
_atom_site_fract_z
_atom_site_occupancy
Sr1 0.0000 0.2484 0.2500 1
Sr2 0.3333 0.6667 0.0000 1
As1 0.0000 0.3926 0.7500 1
H1 0.0000 0.0000 0.0000 1
```

Output
volume = 26.548 A^3/atom
DFT total energy = -4.1660 eV per atom


# 2
Computed, not measured: crystalline Tl3Bi at its relaxed geometry at the PBEsol level of DFT.

The structure in CIF format:
```
data_Tl3Bi
_cell_length_a 3.4435
_cell_length_b 3.4435
_cell_length_c 11.3464
_cell_angle_alpha 90.00
_cell_angle_beta 90.00
_cell_angle_gamma 120.00
_space_group_name_H-M_alt 'P -6 m 2'
_space_group_IT_number 187
_space_group_name_Hall 'P -6 2'
loop_
_atom_site_label
_atom_site_fract_x
_atom_site_fract_y
_atom_site_fract_z
_atom_site_occupancy
Tl1 0.0000 0.0000 0.0000 1
Tl2 0.3333 0.6667 0.2522 1
Bi1 0.0000 0.0000 0.5000 1
```

Output
energy relative to the lowest polymorph listed for this composition = 40 meV/atom
energy of formation = 0.010 eV/atom
volume = 29.130 A^3/atom


# 3
Computed, not measured: crystalline Li8TeO6 at its relaxed geometry at the PBEsol level of DFT.

The structure in CIF format:
```
data_Li8TeO6
_cell_length_a 5.5259
_cell_length_b 5.5259
_cell_length_c 15.7194
_cell_angle_alpha 90.00
_cell_angle_beta 90.00
_cell_angle_gamma 120.00
_space_group_name_H-M_alt 'R -3'
_space_group_IT_number 148
_space_group_name_Hall '-R 3'
loop_
_atom_site_label
_atom_site_fract_x
_atom_site_fract_y
_atom_site_fract_z
_atom_site_occupancy
Li1 0.0000 0.0000 0.1528 1
Li2 0.0172 0.7018 0.7120 1
Te1 0.0000 0.0000 0.5000 1
O1 0.0080 0.6538 0.2506 1
```

Output
volume = 9.238 A^3/atom
raw formation energy = -1.722 eV/atom